This record from the Alexandria database describes an optimized crystal structure of Pm2Dy6Er3Th. The functional is PBE-GGA.

Results
- E_form (eV/atom) = 0.03

Cell lengths 6.163, 6.163, 11.773 Å; angles 95.00, 95.00, 119.94 degrees
Element x y z (fractional)
Pm: 0.167 0.833 0.000
Pm: 0.833 0.167 0.000
Dy: 0.085 0.415 0.748
Dy: 0.255 0.255 0.252
Dy: 0.415 0.085 0.748
Dy: 0.585 0.915 0.252
Dy: 0.745 0.745 0.748
Dy: 0.915 0.585 0.252
Er: 0.000 0.000 0.500
Er: 0.333 0.667 0.500
Er: 0.667 0.333 0.500
Th: 0.500 0.500 0.000